[1]
# Sr2Cd6InCu

Sr2Cd6InCu after structural relaxation (PBE-GGA, Alexandria via LeMat-Bulk).

Lattice parameters (Å, degrees): 7.8114 7.2946 9.7741 90.00 90.00 90.00
Last column: nearest neighbours and their distance in Å.
Fractional coordinates of all 20 atoms:
Sr 0.5000 0.7215 0.2801  1 Cu 3.25, 1 In 3.52, 1 Cd 3.54
Sr 0.0000 0.2785 0.7801  1 Cu 3.25, 1 In 3.52, 1 Cd 3.54
Sr 0.5000 0.7215 0.7199  1 Cu 3.25, 1 In 3.52, 1 Cd 3.54
Sr 0.0000 0.2785 0.2199  1 Cu 3.25, 1 In 3.52, 1 Cd 3.54
Cd 0.5000 0.2053 0.2520  1 Cu 2.66, 1 In 2.91
Cd 0.5000 0.2053 0.7480  1 Cu 2.66, 1 In 2.91
Cd 0.0000 0.7947 0.2480  1 Cu 2.66, 1 In 2.91
Cd 0.0000 0.7947 0.7520  1 Cu 2.66, 1 In 2.91
Cd 0.1831 0.9695 0.5000  1 Cu 2.55
Cd 0.8169 0.9695 0.5000  1 Cu 2.55
Cd 0.3086 0.3709 0.5000  1 Cu 2.75, 1 In 2.86, 1 Cd 2.99
Cd 0.6914 0.3709 0.5000  1 Cu 2.75, 1 In 2.86, 1 Cd 2.99
Cd 0.8086 0.6291 0.0000  1 Cu 2.75, 1 In 2.86, 1 Cd 2.99
Cd 0.1914 0.6291 0.0000  1 Cu 2.75, 1 In 2.86, 1 Cd 2.99
Cd 0.3169 0.0305 0.0000  1 Cu 2.55
Cd 0.6831 0.0305 0.0000  1 Cu 2.55
In 0.0000 0.5818 0.5000  6 Cd 2.86-3.17
In 0.5000 0.4182 0.0000  6 Cd 2.86-3.17
Cu 0.5000 0.0550 0.5000  6 Cd 2.55-2.75
Cu 0.0000 0.9450 0.0000  6 Cd 2.55-2.75

The formation energy comes out at -14.8 kJ/mol of atoms. For the total energy, the calculation gives -34.45 eV per cell. The space-group type is Pmmn, No. 59.

[2]
# SrCdIn2Cu

SrCdIn2Cu after structural relaxation (PBE-GGA, Alexandria via LeMat-Bulk).

Lattice parameters (Å, degrees): 5.1522 5.1522 5.1154 90.00 90.00 90.00
Last column: nearest neighbours and their distance in Å.
Fractional coordinates of all 5 atoms:
Sr 0.5000 0.5000 0.5000  8 In 3.63, 4 Cd 3.64
Cd 0.0000 0.0000 0.5000  2 Cu 2.56
Cu 0.0000 0.0000 0.0000  2 Cd 2.56, 4 In 2.58
In 0.0000 0.5000 0.0000  2 Cu 2.58
In 0.5000 0.0000 0.0000  2 Cu 2.58

The formation energy comes out at -10.8 kJ/mol of atoms. For the total energy, the calculation gives -12.73 eV per cell. The space-group type is P4/mmm, No. 123.

[3]
# Sr2CdInCu

Sr2CdInCu after structural relaxation (PBE-GGA, Alexandria via LeMat-Bulk).

Lattice parameters (Å, degrees): 5.8950 5.8950 4.8952 90.00 90.00 90.00
Last column: nearest neighbours and their distance in Å.
Fractional coordinates of all 5 atoms:
Sr 0.0000 0.5000 0.0000  2 Cu 2.95
Sr 0.5000 0.0000 0.0000  2 Cu 2.95
Cd 0.5000 0.5000 0.5000  8 Sr 3.83, 4 In 4.17
Cu 0.0000 0.0000 0.0000  2 In 2.45
In 0.0000 0.0000 0.5000  2 Cu 2.45

The formation energy comes out at -13.4 kJ/mol of atoms. For the total energy, the calculation gives -11.81 eV per cell. The space-group type is P4/mmm, No. 123.

[4]
# Sr2CdIn6Cu

Sr2CdIn6Cu after structural relaxation (PBE-GGA, Alexandria via LeMat-Bulk).

Lattice parameters (Å, degrees): 7.1225 7.1225 13.7067 74.94 74.94 60.00
Last column: nearest neighbours and their distance in Å.
Fractional coordinates of all 20 atoms:
Sr 0.8950 0.8950 0.3151  12 In 3.75-3.97, 1 Cu 4.12, 3 Cd 4.14
Sr 0.1050 0.1050 0.6849  12 In 3.75-3.97, 1 Cu 4.12, 3 Cd 4.14
Sr 0.7225 0.7225 0.8326  12 In 3.62-3.81
Sr 0.2775 0.2775 0.1674  12 In 3.62-3.81
Cd 0.5748 0.5748 0.2757  1 Cu 2.93, 6 In 2.97-3.01
Cd 0.4252 0.4252 0.7243  1 Cu 2.93, 6 In 2.97-3.01
In 0.9169 0.3360 0.4111  1 Cu 2.66, 1 Cd 2.97
In 0.3360 0.9169 0.4111  1 Cu 2.66, 1 Cd 2.97
In 0.3360 0.3360 0.4111  1 Cu 2.66, 1 Cd 2.97
In 0.0831 0.6640 0.5889  1 Cu 2.66, 1 Cd 2.97
In 0.6640 0.0831 0.5889  1 Cu 2.66, 1 Cd 2.97
In 0.6640 0.6640 0.5889  1 Cu 2.66, 1 Cd 2.97
In 0.6534 0.2183 0.9099  1 Cu 2.60
In 0.2183 0.6534 0.9099  1 Cu 2.60
In 0.2183 0.2183 0.9099  1 Cu 2.60
In 0.3466 0.7817 0.0901  1 Cu 2.60
In 0.7817 0.3466 0.0901  1 Cu 2.60
In 0.7817 0.7817 0.0901  1 Cu 2.60
Cu 0.0000 0.0000 0.0000  6 In 2.60
Cu 0.5000 0.5000 0.5000  6 In 2.66, 2 Cd 2.93

The formation energy comes out at -17.8 kJ/mol of atoms. For the total energy, the calculation gives -53.30 eV per cell. The space-group type is R-3m, No. 166.

The highest total energy belongs to which entry?
Sr2CdInCu

Which formula does entry 1 have?
Sr2Cd6InCu

Among the records above, which one has the lowest total energy?
Sr2CdIn6Cu

What did the second record say?
# SrCdIn2Cu

SrCdIn2Cu after structural relaxation (PBE-GGA, Alexandria via LeMat-Bulk).

Lattice parameters (Å, degrees): 5.1522 5.1522 5.1154 90.00 90.00 90.00
Last column: nearest neighbours and their distance in Å.
Fractional coordinates of all 5 atoms:
Sr 0.5000 0.5000 0.5000  8 In 3.63, 4 Cd 3.64
Cd 0.0000 0.0000 0.5000  2 Cu 2.56
Cu 0.0000 0.0000 0.0000  2 Cd 2.56, 4 In 2.58
In 0.0000 0.5000 0.0000  2 Cu 2.58
In 0.5000 0.0000 0.0000  2 Cu 2.58

The formation energy comes out at -10.8 kJ/mol of atoms. For the total energy, the calculation gives -12.73 eV per cell. The space-group type is P4/mmm, No. 123.